The following is a DFT calculation (PBE) of Na2NpBr3O3 after structural relaxation.

It has space group P-62m (No. 189), with a = 8.3102 Å, b = 8.3102 Å, c = 3.1930 Å, α = 90.00°, β = 90.00° and γ = 120.00°. The inequivalent atoms are Na at (0.3333, 0.6667, 0.0000), Np at (0.0000, 0.0000, 0.5000), Br at (0.0000, 0.4179, 0.5000) and O at (0.0000, 0.8306, 0.0000).

The uncorrected formation energy comes out at -1.602 eV/atom. The electronic total energy comes out at -5.544 eV/atom.